Entry from Alexandria via LeMat-Bulk: V3GeAs after structural relaxation (PBE).

crystal system: cubic
ΔE_f: 15.641 kcal/mol of atoms
density of states at the Fermi level: 8.8 states/eV/cell
space-group type: Pm-3m (221)
volume: 96 Å³/cell

Geometry as POSCAR:
```
V3GeAs
1.0
-1.112 -3.278 -3.003
1.017 -3.201 3.117
-4.328 0.089 1.504
V Ge As
3 1 1
direct
0.500 0.000 0.000
0.000 0.500 0.000
0.000 0.000 0.500
0.500 0.500 0.500
0.000 0.000 0.000
```